! BaZn2Ge2 PBEsol optimized geometry; values from VASP
&SYSTEM
  ibrav = 0, nat = 5, ntyp = 3
/
ATOMIC_SPECIES
Ba 137.33 Ba.upf
Zn 65.41 Zn.upf
Ge 72.64 Ge.upf
CELL_PARAMETERS angstrom
-2.2526 2.2526 5.1759
2.2526 -2.2526 5.1759
2.2526 2.2526 -5.1759
ATOMIC_POSITIONS angstrom
Ba 0.0000 0.0000 0.0000
Zn 2.2526 0.0000 2.5879
Zn 0.0000 2.2526 2.5879
Ge 0.0000 0.0000 3.8915
Ge 0.0000 0.0000 6.4602
! * spin magnetization: 0.00 μB/cell
! * formation enthalpy at 0 K: -2.04 eV/f.u.